[1]
Ac5LaPr2Er | PBE | relaxed

a b c (Å): 8.437 8.437 12.163
angles (deg): 110.29 110.29 90.00
Fractional positions:
1 Ac 0.915 0.415 0.269
2 Ac 0.645 0.145 0.731
3 Ac 0.085 0.585 0.731
4 Ac 0.145 0.085 0.731
5 Ac 0.585 0.645 0.731
6 Ac 0.855 0.915 0.269
7 Ac 0.415 0.355 0.269
8 Ac 0.355 0.855 0.269
9 Ac 0.500 0.500 0.000
10 Ac 0.000 0.000 0.000
11 La 0.250 0.250 0.500
12 La 0.750 0.750 0.500
13 Pr 0.123 0.377 0.000
14 Pr 0.623 0.123 0.000
15 Pr 0.377 0.877 0.000
16 Pr 0.877 0.623 0.000
17 Er 0.250 0.750 0.500
18 Er 0.750 0.250 0.500

Results
ΔH_f (0 K) (meV/atom): 279
Crystal system: tetragonal
V (A^3/atom): 41.92
Mass density (g/cm³): 7.6
Total magnetic moment (μB/f.u.): 0.00

[2]
PmSc2Ru | PBE | relaxed

a b c (Å): 3.285 3.285 8.474
angles (deg): 90.00 90.00 90.00
Fractional positions:
1 Sc 0.000 0.000 0.821
2 Sc 0.000 0.000 0.179
3 Ru 0.500 0.500 0.000
4 Pm 0.500 0.500 0.500

Results
ΔH_f (0 K) (meV/atom): -332
Crystal system: tetragonal
V (A^3/atom): 22.87
Mass density (g/cm³): 6.1
Total magnetic moment (μB/f.u.): 0.00

[3]
ZnReNi6 | PBE | relaxed

a b c (Å): 6.231 6.231 10.171
angles (deg): 90.00 90.00 109.42
Fractional positions:
1 Ni 0.248 0.752 0.496
2 Ni 0.876 0.628 0.624
3 Ni 0.124 0.372 0.624
4 Ni 0.752 0.248 0.496
5 Ni 0.372 0.124 0.624
6 Ni 0.628 0.876 0.624
7 Ni 0.500 0.500 0.250
8 Ni 0.121 0.373 0.374
9 Ni 0.373 0.121 0.374
10 Ni 0.248 0.752 0.004
11 Ni 0.879 0.627 0.126
12 Ni 0.121 0.373 0.126
13 Ni 0.752 0.248 0.004
14 Ni 0.373 0.121 0.126
15 Ni 0.627 0.879 0.126
16 Ni 0.500 0.500 0.750
17 Ni 0.124 0.372 0.876
18 Ni 0.372 0.124 0.876
19 Ni 0.000 0.000 0.250
20 Ni 0.627 0.879 0.374
21 Ni 0.879 0.627 0.374
22 Ni 0.000 0.000 0.750
23 Ni 0.628 0.876 0.876
24 Ni 0.876 0.628 0.876
25 Re 0.250 0.750 0.250
26 Re 0.750 0.250 0.250
27 Re 0.000 0.000 0.509
28 Re 0.000 0.000 0.991
29 Zn 0.251 0.749 0.750
30 Zn 0.749 0.251 0.750
31 Zn 0.500 0.500 0.502
32 Zn 0.500 0.500 0.998

Results
ΔH_f (0 K) (meV/atom): -63
Crystal system: orthorhombic
V (A^3/atom): 11.64
Mass density (g/cm³): 10.8
Total magnetic moment (μB/f.u.): 0.00

[4]
MgTe2Os | PBE | relaxed

a b c (Å): 4.940 4.940 4.940
angles (deg): 60.00 60.00 60.00
Fractional positions:
1 Mg 0.500 0.500 0.500
2 Os 0.750 0.750 0.750
3 Te 0.000 0.000 0.000
4 Te 0.250 0.250 0.250

Results
Crystal system: cubic
V (A^3/atom): 21.31
ΔE_f (raw) (eV/f.u.): 3.1
Mass density (g/cm³): 9.1
Total magnetic moment (μB/f.u.): 0.00

[5]
SrCa2Ti | PBE | relaxed

a b c (Å): 5.890 5.890 5.890
angles (deg): 60.00 60.00 60.00
Fractional positions:
1 Sr 0.500 0.500 0.500
2 Ca 0.250 0.250 0.250
3 Ca 0.750 0.750 0.750
4 Ti 0.000 0.000 0.000

Results
ΔH_f (0 K) (meV/atom): 496
Crystal system: cubic
V (A^3/atom): 36.12
Mass density (g/cm³): 2.5
Total magnetic moment (μB/f.u.): 2.97

[6]
LaSiGe2B | PBE | relaxed

a b c (Å): 4.373 5.231 4.373
angles (deg): 90.00 90.00 90.00
Fractional positions:
1 Ge 0.000 0.000 0.500
2 Ge 0.500 0.000 0.000
3 B 0.000 0.000 0.000
4 Si 0.500 0.500 0.500
5 La 0.000 0.500 0.000

Results
Crystal system: tetragonal
V (A^3/atom): 20.00
ΔE_f (raw) (eV/f.u.): 1.1
Mass density (g/cm³): 5.4
Total magnetic moment (μB/f.u.): 0.00

[7]
Li2AgF3 | PBE | relaxed

a b c (Å): 2.982 2.982 8.223
angles (deg): 90.00 90.00 120.00
Fractional positions:
1 Li 0.667 0.333 0.358
2 Li 0.333 0.667 0.642
3 Ag 0.000 0.000 0.000
4 F 0.667 0.333 0.777
5 F 0.333 0.667 0.223
6 F 0.000 0.000 0.500

Results
Crystal system: trigonal
V (A^3/atom): 10.56
ΔE_f (raw) (eV/f.u.): -13.6
Mass density (g/cm³): 4.7
Total magnetic moment (μB/f.u.): 0.00

[8]
La2InSe | PBE | relaxed

a b c (Å): 5.407 5.407 5.407
angles (deg): 60.00 60.00 60.00
Fractional positions:
1 In 0.500 0.500 0.500
2 La 0.000 0.000 0.000
3 La 0.250 0.250 0.250
4 Se 0.750 0.750 0.750

Results
Crystal system: cubic
V (A^3/atom): 27.95
ΔE_f (raw) (eV/f.u.): -1.4
Mass density (g/cm³): 7.0
Total magnetic moment (μB/f.u.): 0.00

Quick rundown of density of states at the Fermi level, same order as above: 1.730, 0.640, 0.868, 0.646, 2.129, 0.436, 0.000, 1.456 states/eV per atom